Density functional theory data (meta-GGA SCAN) for Tl2ZnCd at its PBEsol-relaxed geometry.

Results
**Energy**: -1.7264 Ha/atom
**ΔE to the lowest computed polymorph**: 0.000 eV per atom
**ΔE_f**: 17.8 kJ per mole of atoms
**Magnetic moment**: 0.00 μB/f.u.
**Fermi-level density of states**: 0.468 states/eV per atom

Cell: 3.3337 3.3337 8.3742 Å, 90.00 90.00 90.00°
Last column: nearest neighbours and their distance in Å.
Space group P4/mmm (No. 123)
Unique sites:
Tl (0.0000, 0.0000, 0.2309) (multiplicity 2)  4 Zn 3.05, 4 Cd 3.26, 4 Tl 3.33
Zn (0.5000, 0.5000, 0.0000) (multiplicity 1)  8 Tl 3.05, 4 Zn 3.33
Cd (0.5000, 0.5000, 0.5000) (multiplicity 1)  8 Tl 3.26, 4 Cd 3.33